1.
# NpHgBr6 PBE-GGA optimized geometry
data_NpHgBr6
_chemical_formula_sum 'Np2 Hg2 Br12'
_symmetry_space_group_name_H-M 'C 1 2/m 1'
_symmetry_Int_Tables_number 12
_symmetry_space_group_name_Hall '-C 2y'
_cell_length_a 7.111
_cell_length_b 12.884
_cell_length_c 7.099
_cell_angle_alpha 90.00
_cell_angle_beta 111.47
_cell_angle_gamma 90.00
loop_
_atom_site_label
_atom_site_fract_x
_atom_site_fract_y
_atom_site_fract_z
Np1 0.000 0.000 0.000
Hg1 0.000 0.500 0.500
Br1 0.231 0.000 0.770
Br2 0.246 0.347 0.745
# E_form (uncorrected), eV per atom: -0.8849
# Energy relative to the lowest polymorph listed for this composition, meV per atom: 0
# Crystal system: monoclinic
# DFT total energy, eV per atom: -3.795

---

2.
# Nb3WSe PBE-GGA optimized geometry
data_Nb3WSe
_chemical_formula_sum 'Nb3 W1 Se1'
_symmetry_space_group_name_H-M 'P m -3 m'
_symmetry_Int_Tables_number 221
_symmetry_space_group_name_Hall '-P 4 2 3'
_cell_length_a 4.674
_cell_length_b 4.674
_cell_length_c 4.674
_cell_angle_alpha 90.00
_cell_angle_beta 90.00
_cell_angle_gamma 90.00
loop_
_atom_site_label
_atom_site_fract_x
_atom_site_fract_y
_atom_site_fract_z
Nb1 0.000 0.000 0.500
W1 0.500 0.500 0.500
Se1 0.000 0.000 0.000
# E_form (uncorrected), eV per atom: 1.0086
# Energy relative to the lowest polymorph listed for this composition, meV per atom: 0
# Crystal system: cubic
# DFT total energy, eV per atom: -8.321

---

3.
# Ta4CrSe PBE-GGA optimized geometry
data_Ta4CrSe
_chemical_formula_sum 'Ta16 Cr4 Se4'
_symmetry_space_group_name_H-M 'F -4 3 m'
_symmetry_Int_Tables_number 216
_symmetry_space_group_name_Hall 'F -4 2 3'
_cell_length_a 7.746
_cell_length_b 7.746
_cell_length_c 7.746
_cell_angle_alpha 90.00
_cell_angle_beta 90.00
_cell_angle_gamma 90.00
loop_
_atom_site_label
_atom_site_fract_x
_atom_site_fract_y
_atom_site_fract_z
Ta1 0.124 0.124 0.124
Cr1 0.250 0.250 0.750
Se1 0.000 0.000 0.500
# E_form (uncorrected), eV per atom: 0.7189
# Crystal system: cubic
# DFT total energy, eV per atom: -9.367

---

4.
# TiI2OF PBE-GGA optimized geometry
data_TiI2OF
_chemical_formula_sum 'Ti1 I2 O1 F1'
_symmetry_space_group_name_H-M 'P 4/m m m'
_symmetry_Int_Tables_number 123
_symmetry_space_group_name_Hall '-P 4 2'
_cell_length_a 5.649
_cell_length_b 5.649
_cell_length_c 3.757
_cell_angle_alpha 90.00
_cell_angle_beta 90.00
_cell_angle_gamma 90.00
loop_
_atom_site_label
_atom_site_fract_x
_atom_site_fract_y
_atom_site_fract_z
Ti1 0.000 0.000 0.000
I1 0.000 0.500 0.500
O1 0.500 0.500 0.000
F1 0.000 0.000 0.500
# E_form (uncorrected), eV per atom: 0.0560
# Energy relative to the lowest polymorph listed for this composition, meV per atom: 1149
# Crystal system: tetragonal
# DFT total energy, eV per atom: -3.509

---

5.
# CuSb PBE-GGA optimized geometry
data_CuSb
_chemical_formula_sum 'Cu8 Sb8'
_symmetry_space_group_name_H-M 'I -4 3 m'
_symmetry_Int_Tables_number 217
_symmetry_space_group_name_Hall 'I -4 2 3'
_cell_length_a 8.019
_cell_length_b 8.019
_cell_length_c 8.019
_cell_angle_alpha 90.00
_cell_angle_beta 90.00
_cell_angle_gamma 90.00
loop_
_atom_site_label
_atom_site_fract_x
_atom_site_fract_y
_atom_site_fract_z
Cu1 0.162 0.162 0.162
Sb1 0.160 0.160 0.840
# E_form (uncorrected), eV per atom: 0.4271
# Crystal system: cubic
# DFT total energy, eV per atom: -3.682

---

6.
# AsPdSe3 PBE-GGA optimized geometry
data_AsPdSe3
_chemical_formula_sum 'As1 Pd1 Se3'
_symmetry_space_group_name_H-M 'P m -3 m'
_symmetry_Int_Tables_number 221
_symmetry_space_group_name_Hall '-P 4 2 3'
_cell_length_a 4.906
_cell_length_b 4.906
_cell_length_c 4.906
_cell_angle_alpha 90.00
_cell_angle_beta 90.00
_cell_angle_gamma 90.00
loop_
_atom_site_label
_atom_site_fract_x
_atom_site_fract_y
_atom_site_fract_z
As1 0.000 0.000 0.000
Pd1 0.500 0.500 0.500
Se1 0.000 0.500 0.500
# E_form (uncorrected), eV per atom: 0.5592
# Energy relative to the lowest polymorph listed for this composition, meV per atom: 727
# Crystal system: cubic
# DFT total energy, eV per atom: -3.500

---

7.
# SiTeAsN2 PBE-GGA optimized geometry
data_SiTeAsN2
_chemical_formula_sum 'Si1 Te1 As1 N2'
_symmetry_space_group_name_H-M 'P 4/m m m'
_symmetry_Int_Tables_number 123
_symmetry_space_group_name_Hall '-P 4 2'
_cell_length_a 3.781
_cell_length_b 3.781
_cell_length_c 6.933
_cell_angle_alpha 90.00
_cell_angle_beta 90.00
_cell_angle_gamma 90.00
loop_
_atom_site_label
_atom_site_fract_x
_atom_site_fract_y
_atom_site_fract_z
Si1 0.000 0.000 0.000
Te1 0.500 0.500 0.000
As1 0.500 0.500 0.500
N1 0.000 0.500 0.500
# E_form (uncorrected), eV per atom: 1.4236
# Energy relative to the lowest polymorph listed for this composition, meV per atom: 543
# Crystal system: tetragonal
# DFT total energy, eV per atom: -4.549

---

8.
# YIn5Rh PBE-GGA optimized geometry
data_YIn5Rh
_chemical_formula_sum 'Y1 In5 Rh1'
_symmetry_space_group_name_H-M 'P 4/m m m'
_symmetry_Int_Tables_number 123
_symmetry_space_group_name_Hall '-P 4 2'
_cell_length_a 4.669
_cell_length_b 4.669
_cell_length_c 7.488
_cell_angle_alpha 90.00
_cell_angle_beta 90.00
_cell_angle_gamma 90.00
loop_
_atom_site_label
_atom_site_fract_x
_atom_site_fract_y
_atom_site_fract_z
Y1 0.000 0.000 0.000
In1 0.000 0.500 0.300
In2 0.500 0.500 0.000
Rh1 0.000 0.000 0.500
# Crystal system: tetragonal
# DFT total energy, eV per atom: -4.349
# Energy of formation from the pure elements, meV per atom: -420